Density functional theory data (SCAN) for a crystal of HgTe2As relaxed with PBEsol.

Calculated values
E in eV/atom: -40.383
Energy relative to the elements, uncorrected in eV/atom: 0.332
Polymorph energy (0 for the lowest one) in eV/atom: 0.339
ρ in g cm⁻³: 9.08

Unit cell a=3.608 b=3.608 c=7.455 alpha=90.00 beta=90.00 gamma=90.00
Positions (direct):
Hg  0.500  0.500  0.500
As  0.500  0.500  0.000
Te  0.000  0.000  0.227
Te  0.000  0.000  0.773

Density functional theory data (SCAN) for a crystal of HgTe2As relaxed with PBEsol.

Calculated values
E in eV/atom: -40.691
Energy relative to the elements, uncorrected in eV/atom: 0.024
Polymorph energy (0 for the lowest one) in eV/atom: 0.031
ρ in g cm⁻³: 8.45

Unit cell a=4.203 b=4.203 c=5.902 alpha=90.00 beta=90.00 gamma=90.00
Positions (direct):
Te  0.000  0.000  0.000
As  0.500  0.500  0.000
Te  0.500  0.500  0.500
Hg  0.000  0.000  0.500

Density functional theory data (SCAN) for a crystal of HgTe2As relaxed with PBEsol.

Calculated values
E in eV/atom: -40.676
Energy relative to the elements, uncorrected in eV/atom: 0.039
Polymorph energy (0 for the lowest one) in eV/atom: 0.046
ρ in g cm⁻³: 8.10

Unit cell a=3.024 b=4.170 c=8.637 alpha=90.00 beta=92.62 gamma=90.00
Positions (direct):
Hg  0.000  0.500  0.000
Te  0.974  0.000  0.270
As  0.000  0.500  0.500
Te  0.026  0.000  0.730

Density functional theory data (SCAN) for a crystal of TlHgAs2 relaxed with PBEsol.

Calculated values
E in eV/atom: -45.135
Polymorph energy (0 for the lowest one) in eV/atom: 0.077
ρ in g cm⁻³: 9.68
Formation enthalpy at 0 K in eV per formula unit: 0.364

Unit cell a=2.989 b=3.592 c=8.993 alpha=90.00 beta=99.57 gamma=90.00
Positions (direct):
Hg  0.447  0.000  0.894
As  0.075  0.500  0.150
Tl  0.809  0.500  0.619
As  0.172  0.000  0.345

Density functional theory data (SCAN) for a crystal of TlHg2As relaxed with PBEsol.

Calculated values
E in eV/atom: -57.007
Polymorph energy (0 for the lowest one) in eV/atom: 0.013
ρ in g cm⁻³: 12.02
Formation enthalpy at 0 K in eV per formula unit: 0.851

Unit cell a=3.360 b=3.360 c=8.543 alpha=90.00 beta=90.00 gamma=102.79
Positions (direct):
Hg  0.000  0.000  0.228
Hg  0.000  0.000  0.772
As  0.500  0.500  0.000
Tl  0.500  0.500  0.500

Density functional theory data (SCAN) for a crystal of Tl3HgAs relaxed with PBEsol.

Calculated values
E in eV/atom: -60.809
Polymorph energy (0 for the lowest one) in eV/atom: 0.000
ρ in g cm⁻³: 8.73
Formation enthalpy at 0 K in eV per formula unit: 1.389

Unit cell a=5.530 b=5.530 c=5.530 alpha=90.00 beta=90.00 gamma=90.00
Positions (direct):
Hg  0.500  0.500  0.500
Tl  0.000  0.500  0.000
Tl  0.000  0.000  0.500
As  0.000  0.000  0.000
Tl  0.500  0.000  0.000